No. 1
This record from Alexandria describes crystalline ZnRh2Br at its relaxed geometry. The functional is PBE.

Cell lengths 3.0597, 3.0597, 7.5015 Å; angles 90.00, 90.00, 90.00 degrees
Last column: nearest neighbours and their distance in Å.
Element x y z (fractional)
1 Zn 0.0000 0.0000 0.4375  4 Rh 2.60
2 Rh 0.5000 0.5000 0.2460  4 Zn 2.60, 4 Rh 2.70
3 Rh 0.0000 0.0000 0.0308  4 Rh 2.70, 4 Br 2.84
4 Br 0.5000 0.5000 0.7857  4 Rh 2.84, 4 Br 3.06

Properties
Size of the total moment   1.56 μB per formula unit
ΔE to the lowest computed polymorph   7.3 kJ per mole of atoms
Raw formation energy   0.185 eV per atom
E_tot   -4.228 eV/atom



No. 2
This record from Alexandria describes crystalline La4CoRuBr2 at its relaxed geometry. The functional is PBE.

Cell lengths 4.1143, 7.0984, 8.2936 Å; angles 106.77, 90.00, 90.00 degrees
Last column: nearest neighbours and their distance in Å.
Element x y z (fractional)
1 Co 0.5000 0.5000 0.0000  6 La 2.81-2.83
2 Br 0.0000 0.5000 0.5000  6 La 3.38-3.40
3 Br 0.5000 0.0000 0.5000  6 La 3.40-3.41
4 La 0.0000 0.7283 0.1923  2 Co 2.81, 1 Ru 2.83
5 La 0.5000 0.7667 0.8044  1 Co 2.83, 2 Ru 2.84
6 La 0.0000 0.2717 0.8077  2 Co 2.81, 1 Ru 2.83
7 La 0.5000 0.2333 0.1956  1 Co 2.83, 2 Ru 2.84
8 Ru 0.0000 0.0000 0.0000  6 La 2.83-2.84

Properties
Size of the total moment   0.00 μB per formula unit
Raw formation energy   -0.877 eV per atom
E_tot   -5.807 eV/atom



No. 3
This record from Alexandria describes crystalline SiGe2Cl at its relaxed geometry. The functional is PBE.

Cell lengths 6.4918, 6.4918, 6.8842 Å; angles 61.87, 61.87, 90.00 degrees
Last column: nearest neighbours and their distance in Å.
Element x y z (fractional)
1 Si 0.5000 0.5000 0.0000  4 Ge 2.46
2 Si 0.2500 0.7500 0.5000  4 Ge 2.46
3 Ge 0.3750 0.4195 0.7500  2 Si 2.46
4 Ge 0.8750 0.8305 0.7500  2 Si 2.46
5 Ge 0.1695 0.6250 0.2500  2 Si 2.46
6 Ge 0.5805 0.1250 0.2500  2 Si 2.46
7 Cl 0.0000 0.0000 0.0000  4 Ge 2.82
8 Cl 0.7500 0.2500 0.5000  4 Ge 2.82

Properties
Size of the total moment   0.00 μB per formula unit
ΔE to the lowest computed polymorph   1.8 kJ per mole of atoms
Raw formation energy   0.341 eV per atom
E_tot   -3.785 eV/atom



> Which value of raw formation energy does entry 3 give?

0.341 eV per atom